[1]
5
Lattice="4.6918 0.0000 0.0000 0.0000 4.4517 0.0000 0.0000 0.0000 4.6918" Properties=species:S:1:pos:R:3 comment="BeFeTcW2 (PBE, optimized geometry)" total_energy_ev_per_atom=-7.621 magmom_total_mub_per_cell=2.2 e_form_mev_per_atom=2071 pbc="T T T"
W 2.3459 0.0000 0.0000
Tc 0.0000 0.0000 0.0000
Be 2.3459 2.2259 2.3459
W 0.0000 0.0000 2.3459
Fe 0.0000 2.2259 0.0000

[2]
6
Lattice="0.0000 3.1847 3.1847 3.1847 0.0000 3.1847 3.1847 3.1847 0.0000" Properties=species:S:1:pos:R:3 comment="Be4FeTe (PBE, optimized geometry)" total_energy_ev_per_atom=-4.134 magmom_total_mub_per_cell=0.2 e_form_raw_mev_per_atom=284 pbc="T T T"
Te 0.0000 0.0000 0.0000
Fe 4.7770 4.7770 4.7770
Be 2.4172 3.9521 3.9521
Be 3.9521 2.4172 3.9521
Be 2.4172 2.4172 2.4172
Be 3.9521 3.9521 2.4172

[3]
8
Lattice="3.7114 0.0000 0.0000 0.0000 3.7114 0.0000 1.8557 1.8557 8.5504" Properties=species:S:1:pos:R:3 comment="BeFe2Te (PBE, optimized geometry)" e_above_lowest_polymorph_kj_per_mol_atoms=17.7 total_energy_ev_per_atom=-5.518 magmom_total_mub_per_cell=8.8 e_form_raw_mev_per_atom=430 pbc="T T T"
Fe 4.6392 4.4756 6.4128
Be 1.8557 3.7114 4.2752
Te 0.0000 0.0000 0.0000
Fe 2.6200 0.9278 2.1376
Fe 2.7835 2.9471 6.4128
Te 3.7114 1.8557 4.2752
Fe 1.0914 2.7835 2.1376
Be 1.8557 1.8557 0.0000

[4]
4
Lattice="7.1209 -0.0112 -0.0027 5.3630 4.6846 0.0027 -6.3087 -2.1584 2.4998" Properties=species:S:1:pos:R:3 comment="BeFeTe2 (PBE, optimized geometry)" total_energy_ev_per_atom=-4.424 magmom_total_mub_per_cell=0.0 e_form_raw_mev_per_atom=195 pbc="T T T"
Be 5.2653 1.9711 0.0000
Te 12.3252 4.6140 0.0000
Te 3.5445 0.0901 1.2485
Fe 3.7661 2.8500 1.2513